Entry from the Alexandria database: a crystal of KIn2Sb relaxed with PBEsol (SCAN).

Unit cell a=3.935 b=3.935 c=7.719 alpha=90.00 beta=90.00 gamma=90.00
Fractional coordinates of all 4 atoms:
K  0.000  0.000  0.000
In  0.000  0.000  0.482
In  0.500  0.500  0.694
Sb  0.500  0.500  0.306

Calculated values
Space-group type: No. 99
Total moment in μB per formula unit: 0.00
Formation energy from raw total energies in meV per atom: -209

---

Entry from the Alexandria database: a crystal of KInSb2 relaxed with PBEsol (SCAN).

Unit cell a=4.090 b=4.090 c=7.223 alpha=90.00 beta=90.00 gamma=90.00
Fractional coordinates of all 4 atoms:
K  0.000  0.000  0.000
In  0.000  0.000  0.500
Sb  0.500  0.500  0.305
Sb  0.500  0.500  0.695

Calculated values
Space-group type: No. 123
Total moment in μB per formula unit: 0.00
Formation energy from raw total energies in meV per atom: -156

---

Entry from the Alexandria database: a crystal of KIn2Sb relaxed with PBEsol (SCAN).

Unit cell a=3.216 b=5.467 c=6.332 alpha=90.00 beta=90.22 gamma=90.00
Fractional coordinates of all 4 atoms:
K  0.000  0.000  0.000
In  0.495  0.500  0.744
In  0.505  0.500  0.256
Sb  0.500  0.000  0.500

Calculated values
Space-group type: No. 10
Total moment in μB per formula unit: 0.00
Formation energy from raw total energies in meV per atom: -171

---

Entry from the Alexandria database: a crystal of KInSb2 relaxed with PBEsol (SCAN).

Unit cell a=3.423 b=4.972 c=6.948 alpha=90.00 beta=90.00 gamma=90.00
Fractional coordinates of all 4 atoms:
K  0.000  0.000  0.000
In  0.000  0.000  0.500
Sb  0.500  0.500  0.294
Sb  0.500  0.500  0.706

Calculated values
Space-group type: No. 47
Total moment in μB per formula unit: 0.00
Formation energy from raw total energies in meV per atom: -132

---

Entry from the Alexandria database: a crystal of KIn2Sb2 relaxed with PBEsol (SCAN).

Unit cell a=7.996 b=7.996 c=7.996 alpha=144.66 beta=144.66 gamma=50.85
Fractional coordinates of all 5 atoms:
K  0.000  0.000  0.000
In  0.250  0.750  0.500
In  0.750  0.250  0.500
Sb  0.368  0.368  0.000
Sb  0.632  0.632  0.000

Calculated values
Space-group type: No. 139
Total moment in μB per formula unit: 0.00
Formation energy from raw total energies in meV per atom: -274

---

Entry from the Alexandria database: a crystal of KIn2Sb relaxed with PBEsol (SCAN).

Unit cell a=4.680 b=4.850 c=4.884 alpha=90.00 beta=90.00 gamma=90.00
Fractional coordinates of all 4 atoms:
K  0.000  0.000  0.000
In  0.000  0.500  0.500
In  0.500  0.000  0.500
Sb  0.500  0.500  0.000

Calculated values
Space-group type: No. 47
Total moment in μB per formula unit: 0.00
Formation energy from raw total energies in meV per atom: -100

---

Entry from the Alexandria database: a crystal of KInSb relaxed with PBEsol (SCAN).

Unit cell a=6.234 b=6.234 c=8.041 alpha=99.80 beta=99.80 gamma=43.33
Fractional coordinates of all 6 atoms:
K  0.120  0.120  0.317
K  0.880  0.880  0.683
In  0.384  0.384  0.046
In  0.616  0.616  0.954
Sb  0.177  0.177  0.769
Sb  0.823  0.823  0.231

Calculated values
Space-group type: No. 12
Total moment in μB per formula unit: 0.00
Formation energy from raw total energies in meV per atom: -446

---

Entry from the Alexandria database: a crystal of K2Sc2In relaxed with PBEsol (SCAN).

Unit cell a=11.857 b=11.857 c=11.857 alpha=160.53 beta=160.53 gamma=27.68
Fractional coordinates of all 5 atoms:
K  0.103  0.103  0.000
K  0.897  0.897  0.000
Sc  0.250  0.750  0.500
Sc  0.750  0.250  0.500
In  0.500  0.500  0.000

Calculated values
Space-group type: No. 139
Calculated formation energy in eV per atom: 0.50
Total moment in μB per formula unit: 0.00